1.
A relaxed structure of AlSiGe2As, computed with GGA-PBE.

Cell: 4.8012 4.8012 4.7550 Å, 90.00 90.00 90.00°
Fractional coordinates of all 5 atoms:
Al 0.0000 0.0000 0.0000
Si 0.0000 0.0000 0.5000
Ge 0.0000 0.5000 0.5000
Ge 0.5000 0.0000 0.5000
As 0.5000 0.5000 0.0000

Output
Theoretical density, g/cm³: 4.2
Formation energy from raw total energies, eV/atom: 0.603
Fermi-level density of states, states/eV per atom: 0.47


2.
A relaxed structure of Sr2Al2Ge2As, computed with GGA-PBE.

Cell: 4.4452 6.4290 6.9934 Å, 74.26 71.61 69.84°
Fractional coordinates of all 7 atoms:
Sr 0.0654 0.1776 0.1916
Sr 0.9346 0.8224 0.8084
Al 0.2809 0.5793 0.3579
Al 0.7191 0.4207 0.6421
Ge 0.3440 0.1918 0.6198
Ge 0.6560 0.8082 0.3802
As 0.5000 0.5000 0.0000

Output
Theoretical density, g/cm³: 4.3
Fermi-level density of states, states/eV per atom: 0.29
ΔE_f, eV per atom: -0.52


3.
A relaxed structure of AlV2GeAs, computed with GGA-PBE.

Cell: 4.5537 4.5537 4.8992 Å, 90.00 90.00 90.00°
Fractional coordinates of all 5 atoms:
Al 0.0000 0.0000 0.0000
V 0.0000 0.5000 0.5000
V 0.5000 0.0000 0.5000
Ge 0.5000 0.5000 0.0000
As 0.5000 0.5000 0.5000

Output
Theoretical density, g/cm³: 4.5
Fermi-level density of states, states/eV per atom: 0.65
ΔE_f, eV per atom: 0.85


4.
A relaxed structure of YAl2GeAs, computed with GGA-PBE.

Cell: 5.5090 5.5090 5.3078 Å, 90.00 90.00 90.00°
Fractional coordinates of all 5 atoms:
Y 0.0000 0.0000 0.0000
Al 0.0000 0.5000 0.0000
Al 0.5000 0.0000 0.0000
Ge 0.5000 0.5000 0.5000
As 0.0000 0.0000 0.5000

Output
Theoretical density, g/cm³: 3.0
Fermi-level density of states, states/eV per atom: 1.02
ΔE_f, eV per atom: 0.92


- Which value of theoretical density does entry 3 give?
  4.5 g/cm³